Here is Rb2Np2TaS6 after structural relaxation from Alexandria via LeMat-Bulk. Energies are from PBE.

Unit cell a=6.678 b=6.678 c=8.240 alpha=98.07 beta=98.07 gamma=119.46
Site moments in Bohr magnetons follow the coordinates.
Element x y z (fractional)
Ta 0.000 0.000 0.500  0.77
Rb 0.170 0.830 0.000  0.00
Rb 0.830 0.170 0.000  0.00
S 0.244 0.244 0.315  -0.06
S 0.935 0.626 0.314  -0.06
S 0.374 0.065 0.686  -0.06
S 0.756 0.756 0.685  -0.06
S 0.626 0.935 0.314  -0.06
S 0.065 0.374 0.686  -0.06
Np 0.334 0.666 0.500  3.83
Np 0.666 0.334 0.500  3.83

- Size of the total moment: 9.03 μB per formula unit
- Fermi-level density of states: 20.496 states/eV/f.u.
- V: 27.94 A^3/atom
- E_form (uncorrected): -1.259 eV per atom